Entry 1:
{
  "formula": "VNiSb3",
  "functional": "PBE-GGA",
  "state": "optimized geometry",
  "formation_energy_uncorrected_kj_per_mol_atoms": 57.48,
  "lattice": [[-3.846, 2.877, 1.260], [0.823, -0.999, 4.794], [3.031, 3.922, 0.297]],
  "species": ["Sb", "Sb", "Sb", "Ni", "V"],
  "frac_coords": [[0.000, 0.500, 0.000], [0.000, 0.000, 0.500], [0.500, 0.000, 0.000], [0.000, 0.000, 0.000], [0.500, 0.500, 0.500]]
}

***

Entry 2:
{
  "formula": "VNi2Sb",
  "functional": "PBE-GGA",
  "state": "optimized geometry",
  "formation_energy_uncorrected_kj_per_mol_atoms": -7.73,
  "lattice": [[3.779, 0.000, 0.000], [0.000, 3.835, 0.000], [0.000, 0.000, 3.835]],
  "species": ["Sb", "V", "Ni", "Ni"],
  "frac_coords": [[0.500, 0.000, 0.000], [0.500, 0.500, 0.500], [0.000, 0.000, 0.500], [0.000, 0.500, 0.000]]
}

***

Entry 3:
{
  "formula": "VNiSb2",
  "functional": "PBE-GGA",
  "state": "optimized geometry",
  "formation_energy_uncorrected_kj_per_mol_atoms": 25.58,
  "lattice": [[3.258, 0.000, 0.000], [1.629, 2.822, 0.000], [1.629, 0.941, 8.829]],
  "species": ["Sb", "Sb", "V", "Ni"],
  "frac_coords": [[0.093, 0.093, 0.722], [0.907, 0.907, 0.278], [0.500, 0.500, 0.500], [0.000, 0.000, 0.000]]
}